No. 1
Compound: ZrAgPt2
Source: Alexandria via LeMat-Bulk
Functional: GGA-PBE
Structure: relaxed

a b c (Å): 9.6525 9.6525 9.6525
angles (deg): 17.40 17.40 17.40
Closest atoms and distances in Å follow each position.
Positions (direct):
1 Pt 0.5015 0.5015 0.5015  3 Zr 2.88, 6 Pt 2.92, 3 Ag 2.95
2 Pt 0.9985 0.9985 0.9985  3 Zr 2.88, 6 Pt 2.92, 3 Ag 2.95
3 Zr 0.2500 0.2500 0.2500  6 Pt 2.88, 6 Zr 2.92
4 Ag 0.7500 0.7500 0.7500  6 Ag 2.92, 6 Pt 2.95

Summary:
ΔH_f (0 K), eV per atom: -0.364
Crystal system: trigonal
DFT total energy, eV per atom: -6.23
SG: R-3m


No. 2
Compound: ZrAg2Pt
Source: Alexandria via LeMat-Bulk
Functional: GGA-PBE
Structure: relaxed

a b c (Å): 3.4442 3.4599 7.1907
angles (deg): 61.25 90.00 90.00
Closest atoms and distances in Å follow each position.
Positions (direct):
1 Zr 0.5000 0.7795 0.7205  4 Pt 2.76, 5 Ag 2.99-3.08
2 Ag 0.0000 0.9823 0.0178  4 Ag 2.83, 4 Zr 3.08, 2 Pt 3.14-3.17
3 Pt 0.0000 0.4845 0.5154  4 Zr 2.76, 4 Ag 2.97
4 Ag 0.5000 0.2537 0.2463  4 Ag 2.83, 4 Pt 2.97, 1 Zr 2.99

Summary:
ΔH_f (0 K), eV per atom: -0.348
Crystal system: orthorhombic
DFT total energy, eV per atom: -5.42
SG: Pmm2
Excess energy over the best structure of this formula in the dataset, meV per atom: 0


No. 3
Compound: Zr2AgPt
Source: Alexandria via LeMat-Bulk
Functional: GGA-PBE
Structure: relaxed

a b c (Å): 9.3950 9.3950 9.3950
angles (deg): 19.63 19.63 19.63
Closest atoms and distances in Å follow each position.
Positions (direct):
1 Pt 0.7474 0.7474 0.7474  3 Zr 2.74, 3 Ag 2.93
2 Ag 0.4961 0.4961 0.4961  3 Pt 2.93, 3 Zr 3.02, 6 Ag 3.20
3 Zr 0.0074 0.0074 0.0074  3 Pt 2.74
4 Zr 0.2491 0.2491 0.2491  3 Ag 3.02, 9 Zr 3.13-3.20

Summary:
ΔH_f (0 K), eV per atom: -0.172
Crystal system: trigonal
DFT total energy, eV per atom: -6.67
SG: R3m


No. 4
Compound: ZrAg2Pt
Source: Alexandria via LeMat-Bulk
Functional: GGA-PBE
Structure: relaxed

a b c (Å): 5.3240 5.3240 2.9102
angles (deg): 90.00 90.00 117.89
Closest atoms and distances in Å follow each position.
Positions (direct):
1 Zr 0.0000 0.5000 0.5000  2 Pt 2.75, 2 Zr 2.91, 8 Ag 3.03
2 Pt 0.5000 0.0000 0.5000  2 Zr 2.75, 2 Pt 2.91, 8 Ag 3.03
3 Ag 0.5000 0.5000 0.0000  4 Ag 2.75-2.91, 4 Pt 3.03, 4 Zr 3.03
4 Ag 0.0000 0.0000 0.0000  4 Ag 2.75-2.91, 4 Zr 3.03, 4 Pt 3.03

Summary:
ΔH_f (0 K), eV per atom: -0.094
Crystal system: orthorhombic
DFT total energy, eV per atom: -5.17
SG: Cmmm
Excess energy over the best structure of this formula in the dataset, meV per atom: 254


No. 5
Compound: ZrAg2Pt
Source: Alexandria via LeMat-Bulk
Functional: GGA-PBE
Structure: relaxed

a b c (Å): 2.9183 2.9183 8.5078
angles (deg): 90.00 90.00 90.00
Closest atoms and distances in Å follow each position.
Positions (direct):
1 Zr 0.5000 0.5000 0.7500  4 Zr 2.92, 8 Ag 3.05
2 Ag 0.0000 0.0000 0.4857  4 Pt 2.88, 4 Ag 2.92, 4 Zr 3.05
3 Pt 0.5000 0.5000 0.2500  8 Ag 2.88, 4 Pt 2.92
4 Ag 0.0000 0.0000 0.0143  4 Pt 2.88, 4 Ag 2.92, 4 Zr 3.05

Summary:
ΔH_f (0 K), eV per atom: -0.021
Crystal system: tetragonal
DFT total energy, eV per atom: -5.09
SG: P4/mmm
Excess energy over the best structure of this formula in the dataset, meV per atom: 327


No. 6
Compound: ZrAg2Pt
Source: Alexandria via LeMat-Bulk
Functional: GGA-PBE
Structure: relaxed

a b c (Å): 2.9243 4.4728 5.5154
angles (deg): 90.00 90.00 90.00
Closest atoms and distances in Å follow each position.
Positions (direct):
1 Ag 0.0000 0.0000 0.4952  4 Ag 2.71-2.92, 4 Pt 2.99, 4 Zr 3.02
2 Pt 0.5000 0.5000 0.2500  2 Zr 2.76, 2 Pt 2.92, 8 Ag 2.99
3 Ag 0.0000 0.0000 0.0048  4 Ag 2.71-2.92, 4 Pt 2.99, 4 Zr 3.02
4 Zr 0.5000 0.5000 0.7500  2 Pt 2.76, 2 Zr 2.92, 8 Ag 3.02

Summary:
ΔH_f (0 K), eV per atom: -0.191
Crystal system: orthorhombic
DFT total energy, eV per atom: -5.26
SG: Pmmm
Excess energy over the best structure of this formula in the dataset, meV per atom: 157


No. 7
Compound: ZrAgPt
Source: Alexandria via LeMat-Bulk
Functional: GGA-PBE
Structure: relaxed

a b c (Å): 4.5307 4.5307 4.5307
angles (deg): 60.00 60.00 60.00
Closest atoms and distances in Å follow each position.
Positions (direct):
1 Zr 0.7500 0.7500 0.7500  4 Pt 2.77, 4 Ag 2.77
2 Ag 0.0000 0.0000 0.0000  4 Zr 2.77
3 Pt 0.5000 0.5000 0.5000  4 Zr 2.77

Summary:
ΔH_f (0 K), eV per atom: -0.111
Crystal system: cubic
DFT total energy, eV per atom: -5.92
SG: F-43m
Excess energy over the best structure of this formula in the dataset, meV per atom: 523


No. 8
Compound: ZrAgPt2
Source: Alexandria via LeMat-Bulk
Functional: GGA-PBE
Structure: relaxed

a b c (Å): 3.4945 3.4945 5.7686
angles (deg): 90.00 90.00 90.00
Closest atoms and distances in Å follow each position.
Positions (direct):
1 Ag 0.5000 0.5000 0.7500  8 Pt 2.86, 2 Zr 2.88
2 Pt 0.0000 0.0000 0.4995  4 Zr 2.86, 4 Ag 2.86, 2 Pt 2.88-2.89
3 Zr 0.5000 0.5000 0.2500  8 Pt 2.86, 2 Ag 2.88
4 Pt 0.0000 0.0000 0.0005  4 Zr 2.86, 4 Ag 2.86, 2 Pt 2.88-2.89

Summary:
ΔH_f (0 K), eV per atom: -0.719
Crystal system: tetragonal
DFT total energy, eV per atom: -6.59
SG: P4/mmm


No. 9
Compound: ZrAgPt
Source: Alexandria via LeMat-Bulk
Functional: GGA-PBE
Structure: relaxed

a b c (Å): 3.5406 3.5406 5.0837
angles (deg): 110.38 110.38 90.00
Closest atoms and distances in Å follow each position.
Positions (direct):
1 Pt 0.9590 0.9590 0.9180  5 Zr 2.82-3.12, 5 Ag 2.88-2.94
2 Ag 0.2848 0.2848 0.5697  5 Zr 2.84-2.96, 5 Pt 2.88-2.94
3 Zr 0.6062 0.6062 0.2123  5 Pt 2.82-3.12, 5 Ag 2.84-2.96

Summary:
ΔH_f (0 K), eV per atom: -0.633
Crystal system: tetragonal
DFT total energy, eV per atom: -6.45
SG: I4mm
Excess energy over the best structure of this formula in the dataset, meV per atom: 0


No. 10
Compound: ZrAg2Pt
Source: Alexandria via LeMat-Bulk
Functional: GGA-PBE
Structure: relaxed

a b c (Å): 3.6709 3.6709 5.5036
angles (deg): 90.00 90.00 90.00
Closest atoms and distances in Å follow each position.
Positions (direct):
1 Pt 0.5000 0.5000 0.2500  2 Zr 2.75, 8 Ag 2.92
2 Zr 0.5000 0.5000 0.7500  2 Pt 2.75, 8 Ag 2.96
3 Ag 0.0000 0.0000 0.0069  2 Ag 2.68-2.83, 4 Pt 2.92, 4 Zr 2.96
4 Ag 0.0000 0.0000 0.4931  2 Ag 2.68-2.83, 4 Pt 2.92, 4 Zr 2.96

Summary:
ΔH_f (0 K), eV per atom: -0.121
Crystal system: tetragonal
DFT total energy, eV per atom: -5.19
SG: P4/mmm
Excess energy over the best structure of this formula in the dataset, meV per atom: 227


No. 11
Compound: Zr2AgPt
Source: Alexandria via LeMat-Bulk
Functional: GGA-PBE
Structure: relaxed

a b c (Å): 6.9081 5.1506 2.9893
angles (deg): 89.92 64.48 123.07
Closest atoms and distances in Å follow each position.
Positions (direct):
1 Pt 0.5000 0.5000 0.0000  8 Zr 2.98, 2 Pt 2.99, 2 Ag 3.12
2 Zr 0.5000 0.0000 0.5000  4 Ag 2.98, 4 Pt 2.98, 4 Zr 2.99-3.12
3 Ag 0.0000 0.5000 0.5000  8 Zr 2.98, 2 Ag 2.99, 2 Pt 3.12
4 Zr 0.0000 0.0000 0.0000  4 Pt 2.98, 4 Ag 2.98, 4 Zr 2.99-3.12

Summary:
ΔH_f (0 K), eV per atom: -0.453
Crystal system: monoclinic
DFT total energy, eV per atom: -6.95
SG: C2/m


No. 12
Compound: ZrAg2Pt
Source: Alexandria via LeMat-Bulk
Functional: GGA-PBE
Structure: relaxed

a b c (Å): 7.7344 7.7344 6.0956
angles (deg): 50.62 50.62 90.00
Closest atoms and distances in Å follow each position.
Positions (direct):
1 Ag 0.6440 0.1250 0.2500  2 Ag 2.71, 2 Pt 2.72, 2 Zr 2.92
2 Pt 0.7500 0.2500 0.5000  2 Zr 2.69, 4 Ag 2.72
3 Pt 0.0000 0.0000 0.0000  2 Zr 2.69, 4 Ag 2.72
4 Zr 0.2500 0.7500 0.5000  2 Pt 2.69, 4 Ag 2.92
5 Ag 0.3750 0.3560 0.7500  2 Ag 2.71, 2 Pt 2.72, 2 Zr 2.92
6 Ag 0.8750 0.8940 0.7500  2 Ag 2.71, 2 Pt 2.72, 2 Zr 2.92
7 Ag 0.1060 0.6250 0.2500  2 Ag 2.71, 2 Pt 2.72, 2 Zr 2.92
8 Zr 0.5000 0.5000 0.0000  2 Pt 2.69, 4 Ag 2.92

Summary:
ΔH_f (0 K), eV per atom: 0.161
Crystal system: tetragonal
DFT total energy, eV per atom: -4.91
SG: I-42d
Excess energy over the best structure of this formula in the dataset, meV per atom: 510


No. 13
Compound: Zr2AgPt
Source: Alexandria via LeMat-Bulk
Functional: GGA-PBE
Structure: relaxed

a b c (Å): 7.6759 7.6759 6.1357
angles (deg): 51.28 51.28 90.00
Closest atoms and distances in Å follow each position.
Positions (direct):
1 Ag 0.2500 0.7500 0.5000  2 Pt 2.86, 4 Zr 2.96
2 Zr 0.8750 0.9033 0.7500  2 Pt 2.66, 2 Zr 2.89, 2 Ag 2.96
3 Pt 0.7500 0.2500 0.5000  4 Zr 2.66, 2 Ag 2.86
4 Ag 0.5000 0.5000 0.0000  2 Pt 2.86, 4 Zr 2.96
5 Zr 0.3750 0.3467 0.7500  2 Pt 2.66, 2 Zr 2.89, 2 Ag 2.96
6 Zr 0.0967 0.6250 0.2500  2 Pt 2.66, 2 Zr 2.89, 2 Ag 2.96
7 Zr 0.6533 0.1250 0.2500  2 Pt 2.66, 2 Zr 2.89, 2 Ag 2.96
8 Pt 0.0000 0.0000 0.0000  4 Zr 2.66, 2 Ag 2.86

Summary:
ΔH_f (0 K), eV per atom: -0.143
Crystal system: tetragonal
DFT total energy, eV per atom: -6.64
SG: I-42d


No. 14
Compound: Zr2AgPt2
Source: Alexandria via LeMat-Bulk
Functional: GGA-PBE
Structure: relaxed

a b c (Å): 8.1420 8.1420 2.9749
angles (deg): 90.00 90.00 90.00
Closest atoms and distances in Å follow each position.
Positions (direct):
1 Ag 0.0000 0.0000 0.0000  2 Ag 2.97, 4 Zr 3.06
2 Zr 0.6591 0.1591 0.0000  6 Pt 2.81-2.82, 2 Zr 2.97, 2 Ag 3.06
3 Zr 0.3409 0.8409 0.0000  6 Pt 2.81-2.82, 2 Zr 2.97, 2 Ag 3.06
4 Pt 0.1341 0.6341 0.5000  6 Zr 2.81-2.82, 3 Pt 2.97-3.09
5 Zr 0.1591 0.3409 0.0000  6 Pt 2.81-2.82, 2 Zr 2.97, 2 Ag 3.06
6 Zr 0.8409 0.6591 0.0000  6 Pt 2.81-2.82, 2 Zr 2.97, 2 Ag 3.06
7 Pt 0.8659 0.3659 0.5000  6 Zr 2.81-2.82, 3 Pt 2.97-3.09
8 Ag 0.5000 0.5000 0.0000  2 Ag 2.97, 4 Zr 3.06
9 Pt 0.3659 0.1341 0.5000  6 Zr 2.81-2.82, 3 Pt 2.97-3.09
10 Pt 0.6341 0.8659 0.5000  6 Zr 2.81-2.82, 3 Pt 2.97-3.09

Summary:
ΔH_f (0 K), eV per atom: -0.583
Crystal system: tetragonal
DFT total energy, eV per atom: -6.99
SG: P4/mbm
Excess energy over the best structure of this formula in the dataset, meV per atom: 214


No. 15
Compound: Pu4Ag
Source: Alexandria via LeMat-Bulk
Functional: GGA-PBE
Structure: relaxed

a b c (Å): 5.6225 5.6225 5.6225
angles (deg): 90.00 90.00 90.00
Closest atoms and distances in Å follow each position.
Positions (direct):
1 Pu 0.0000 0.0000 0.0000  12 Pu 3.98
2 Pu 0.5000 0.5000 0.0000  2 Ag 2.81
3 Pu 0.0000 0.5000 0.5000  2 Ag 2.81
4 Ag 0.5000 0.5000 0.5000  6 Pu 2.81
5 Pu 0.5000 0.0000 0.5000  2 Ag 2.81

Summary:
ΔH_f (0 K), eV per atom: 0.837
Crystal system: cubic
DFT total energy, eV per atom: -11.20
SG: Pm-3m


No. 16
Compound: PuAg5
Source: Alexandria via LeMat-Bulk
Functional: GGA-PBE
Structure: relaxed

a b c (Å): 2.9573 4.1297 9.8210
angles (deg): 90.00 90.00 90.00
Closest atoms and distances in Å follow each position.
Positions (direct):
1 Ag 0.5000 0.5000 0.2016  7 Ag 2.92-2.96, 4 Pu 3.22
2 Ag 0.0000 0.0000 0.6523  11 Ag 2.92-2.99
3 Ag 0.0000 0.0000 0.3477  11 Ag 2.92-2.99
4 Ag 0.5000 0.5000 0.7984  7 Ag 2.92-2.96, 4 Pu 3.22
5 Pu 0.0000 0.0000 0.0000  2 Pu 2.96, 8 Ag 3.22
6 Ag 0.5000 0.5000 0.5000  12 Ag 2.93-2.96

Summary:
ΔH_f (0 K), eV per atom: 0.049
Crystal system: orthorhombic
DFT total energy, eV per atom: -4.72
SG: Pmmm


No. 17
Compound: PuAg4
Source: Alexandria via LeMat-Bulk
Functional: GGA-PBE
Structure: relaxed

a b c (Å): 5.5722 5.5722 5.5722
angles (deg): 90.00 90.00 90.00
Closest atoms and distances in Å follow each position.
Positions (direct):
1 Ag 0.0000 0.0000 0.0000  12 Ag 3.94
2 Ag 0.5000 0.5000 0.0000  2 Pu 2.79
3 Ag 0.5000 0.0000 0.5000  2 Pu 2.79
4 Ag 0.0000 0.5000 0.5000  2 Pu 2.79
5 Pu 0.5000 0.5000 0.5000  6 Ag 2.79

Summary:
ΔH_f (0 K), eV per atom: 1.269
Crystal system: cubic
DFT total energy, eV per atom: -3.88
SG: Pm-3m


No. 18
Compound: PuAg5
Source: Alexandria via LeMat-Bulk
Functional: GGA-PBE
Structure: relaxed

a b c (Å): 3.0065 5.2025 8.1695
angles (deg): 108.57 90.00 90.00
Closest atoms and distances in Å follow each position.
Positions (direct):
1 Ag 0.0000 0.3444 0.6887  10 Ag 2.84-3.04
2 Ag 0.5000 0.1861 0.3722  8 Ag 2.88-3.04
3 Ag 0.5000 0.5000 0.0000  6 Ag 2.84-3.01, 4 Pu 3.00
4 Ag 0.5000 0.8139 0.6278  8 Ag 2.88-3.04
5 Ag 0.0000 0.6556 0.3113  10 Ag 2.84-3.04
6 Pu 0.0000 0.0000 0.0000  8 Ag 3.00-3.25, 2 Pu 3.01

Summary:
ΔH_f (0 K), eV per atom: 0.096
Crystal system: orthorhombic
DFT total energy, eV per atom: -4.67
SG: Cmmm


No. 19
Compound: PuAg2
Source: Alexandria via LeMat-Bulk
Functional: GGA-PBE
Structure: relaxed

a b c (Å): 5.7079 5.7079 5.7079
angles (deg): 60.00 60.00 60.00
Closest atoms and distances in Å follow each position.
Positions (direct):
1 Ag 0.1250 0.6250 0.6250  6 Ag 2.85
2 Ag 0.6250 0.1250 0.6250  6 Ag 2.85
3 Pu 0.2500 0.2500 0.2500  12 Ag 3.35, 4 Pu 3.50
4 Ag 0.6250 0.6250 0.6250  6 Ag 2.85
5 Pu 0.0000 0.0000 0.0000  12 Ag 3.35, 4 Pu 3.50
6 Ag 0.6250 0.6250 0.1250  6 Ag 2.85

Summary:
ΔH_f (0 K), eV per atom: 0.040
Crystal system: cubic
DFT total energy, eV per atom: -6.64
SG: Fd-3m


No. 20
Compound: PuAg6
Source: Alexandria via LeMat-Bulk
Functional: GGA-PBE
Structure: relaxed

a b c (Å): 6.4086 6.4086 6.4086
angles (deg): 109.47 109.47 109.47
Closest atoms and distances in Å follow each position.
Positions (direct):
1 Pu 0.0000 0.0000 0.0000  24 Ag 4.14
2 Ag 0.2500 0.5000 0.7500  4 Ag 2.62
3 Ag 0.7500 0.2500 0.5000  4 Ag 2.62
4 Ag 0.5000 0.2500 0.7500  4 Ag 2.62
5 Ag 0.5000 0.7500 0.2500  4 Ag 2.62
6 Ag 0.2500 0.7500 0.5000  4 Ag 2.62
7 Ag 0.7500 0.5000 0.2500  4 Ag 2.62

Summary:
ΔH_f (0 K), eV per atom: 0.643
Crystal system: cubic
DFT total energy, eV per atom: -3.85
SG: Im-3m
Excess energy over the best structure of this formula in the dataset, meV per atom: 598